[1]
# Nd3HgS6 (PBE, optimized geometry)
# SG = No. 36
# Energy = -5.4066 eV per atom
# Formation energy from raw total energies = -1469.6 meV/atom
data_Nd3HgS6
_chemical_formula_sum 'Nd6 Hg2 S12'
_space_group_name_H-M_alt 'P 1'
_space_group_IT_number 1
_cell_length_a 6.879
_cell_length_b 8.718
_cell_length_c 8.718
_cell_angle_alpha 101.66
_cell_angle_beta 90.00
_cell_angle_gamma 90.00
loop_
_space_group_symop_operation_xyz
'x,y,z'
loop_
_atom_site_label
_atom_site_type_symbol
_atom_site_fract_x
_atom_site_fract_y
_atom_site_fract_z
Nd1 Nd 0.482 0.915 0.718
Nd2 Nd 0.982 0.718 0.915
Nd3 Nd 0.390 0.400 0.600
Nd4 Nd 0.890 0.600 0.400
Nd5 Nd 0.982 0.085 0.282
Nd6 Nd 0.482 0.282 0.085
Hg1 Hg 0.002 0.202 0.798
Hg2 Hg 0.502 0.798 0.202
S1 S 0.185 0.692 0.631
S2 S 0.685 0.631 0.692
S3 S 0.214 0.446 0.909
S4 S 0.714 0.909 0.446
S5 S 0.187 0.030 0.970
S6 S 0.644 0.225 0.775
S7 S 0.144 0.775 0.225
S8 S 0.687 0.970 0.030
S9 S 0.214 0.091 0.554
S10 S 0.714 0.554 0.091
S11 S 0.185 0.369 0.308
S12 S 0.685 0.308 0.369

[2]
# MgNbAl2 (PBE, optimized geometry)
# SG = No. 122
# Energy = -4.4327 eV per atom
# ΔH_f (0 K) = 0.355 eV/atom
data_MgNbAl2
_chemical_formula_sum 'Mg2 Nb2 Al4'
_space_group_name_H-M_alt 'P 1'
_space_group_IT_number 1
_cell_length_a 7.265
_cell_length_b 7.265
_cell_length_c 5.874
_cell_angle_alpha 51.80
_cell_angle_beta 51.80
_cell_angle_gamma 90.00
loop_
_space_group_symop_operation_xyz
'x,y,z'
loop_
_atom_site_label
_atom_site_type_symbol
_atom_site_fract_x
_atom_site_fract_y
_atom_site_fract_z
Mg1 Mg 0.500 0.500 0.000
Mg2 Mg 0.250 0.750 0.500
Nb1 Nb 0.000 0.000 0.000
Nb2 Nb 0.750 0.250 0.500
Al1 Al 0.621 0.125 0.250
Al2 Al 0.129 0.625 0.250
Al3 Al 0.375 0.379 0.750
Al4 Al 0.875 0.871 0.750

[3]
# YMgPd2 (PBE, optimized geometry)
# SG = No. 123
# Energy = -5.4029 eV per atom
# ΔH_f (0 K) = -0.792 eV/atom
data_YMgPd2
_chemical_formula_sum 'Y1 Mg1 Pd2'
_space_group_name_H-M_alt 'P 1'
_space_group_IT_number 1
_cell_length_a 3.379
_cell_length_b 3.379
_cell_length_c 6.663
_cell_angle_alpha 90.00
_cell_angle_beta 90.00
_cell_angle_gamma 90.00
loop_
_space_group_symop_operation_xyz
'x,y,z'
loop_
_atom_site_label
_atom_site_type_symbol
_atom_site_fract_x
_atom_site_fract_y
_atom_site_fract_z
Y1 Y 0.500 0.500 0.500
Mg1 Mg 0.500 0.500 0.000
Pd1 Pd 0.000 0.000 0.774
Pd2 Pd 0.000 0.000 0.226

[4]
# ZrAsRhSe2 (PBE, optimized geometry)
# SG = No. 123
# Energy = -5.3813 eV per atom
# Energy relative to the lowest polymorph listed for this composition = 0.00 eV/f.u.
# Formation energy from raw total energies = 122.3 meV/atom
data_ZrAsRhSe2
_chemical_formula_sum 'Zr1 As1 Rh1 Se2'
_space_group_name_H-M_alt 'P 1'
_space_group_IT_number 1
_cell_length_a 4.871
_cell_length_b 4.871
_cell_length_c 4.677
_cell_angle_alpha 90.00
_cell_angle_beta 90.00
_cell_angle_gamma 90.00
loop_
_space_group_symop_operation_xyz
'x,y,z'
loop_
_atom_site_label
_atom_site_type_symbol
_atom_site_fract_x
_atom_site_fract_y
_atom_site_fract_z
As1 As 0.000 0.000 0.500
Rh1 Rh 0.000 0.000 0.000
Se1 Se 0.000 0.500 0.000
Se2 Se 0.500 0.000 0.000
Zr1 Zr 0.500 0.500 0.500

[5]
# Pr5Sm2ErTm (PBE, optimized geometry)
# SG = No. 140
# Energy = -4.4224 eV per atom
# ΔH_f (0 K) = 0.285 eV/atom
data_Pr5Sm2ErTm
_chemical_formula_sum 'Pr10 Sm4 Er2 Tm2'
_space_group_name_H-M_alt 'P 1'
_space_group_IT_number 1
_cell_length_a 8.551
_cell_length_b 8.551
_cell_length_c 10.535
_cell_angle_alpha 113.94
_cell_angle_beta 113.94
_cell_angle_gamma 90.00
loop_
_space_group_symop_operation_xyz
'x,y,z'
loop_
_atom_site_label
_atom_site_type_symbol
_atom_site_fract_x
_atom_site_fract_y
_atom_site_fract_z
Pr1 Pr 0.924 0.424 0.287
Pr2 Pr 0.637 0.137 0.713
Pr3 Pr 0.076 0.576 0.713
Pr4 Pr 0.137 0.076 0.713
Pr5 Pr 0.576 0.637 0.713
Pr6 Pr 0.863 0.924 0.287
Pr7 Pr 0.424 0.363 0.287
Pr8 Pr 0.363 0.863 0.287
Pr9 Pr 0.500 0.500 0.000
Pr10 Pr 0.000 0.000 0.000
Sm1 Sm 0.124 0.376 0.000
Sm2 Sm 0.624 0.124 0.000
Sm3 Sm 0.376 0.876 0.000
Sm4 Sm 0.876 0.624 0.000
Er1 Er 0.250 0.250 0.500
Er2 Er 0.750 0.750 0.500
Tm1 Tm 0.250 0.750 0.500
Tm2 Tm 0.750 0.250 0.500

[6]
# Al2OsPb (PBE, optimized geometry)
# SG = No. 119
# Energy = -5.1487 eV per atom
# ΔH_f (0 K) = 0.457 eV/atom
data_Al2OsPb
_chemical_formula_sum 'Al2 Os1 Pb1'
_space_group_name_H-M_alt 'P 1'
_space_group_IT_number 1
_cell_length_a 4.982
_cell_length_b 4.982
_cell_length_c 4.982
_cell_angle_alpha 130.26
_cell_angle_beta 130.26
_cell_angle_gamma 72.99
loop_
_space_group_symop_operation_xyz
'x,y,z'
loop_
_atom_site_label
_atom_site_type_symbol
_atom_site_fract_x
_atom_site_fract_y
_atom_site_fract_z
Pb1 Pb 0.750 0.250 0.500
Os1 Os 0.500 0.500 0.000
Al1 Al 0.000 0.000 0.000
Al2 Al 0.250 0.750 0.500

[7]
# Ba6Ag2AsPt (PBE, optimized geometry)
# SG = No. 14
# Energy = -3.3002 eV per atom
# ΔH_f (0 K) = -0.507 eV/atom
data_Ba6Ag2AsPt
_chemical_formula_sum 'Ba12 Ag4 As2 Pt2'
_space_group_name_H-M_alt 'P 1'
_space_group_IT_number 1
_cell_length_a 8.056
_cell_length_b 8.958
_cell_length_c 11.978
_cell_angle_alpha 90.00
_cell_angle_beta 89.01
_cell_angle_gamma 90.00
loop_
_space_group_symop_operation_xyz
'x,y,z'
loop_
_atom_site_label
_atom_site_type_symbol
_atom_site_fract_x
_atom_site_fract_y
_atom_site_fract_z
Ba1 Ba 0.321 0.683 0.063
Ba2 Ba 0.821 0.817 0.563
Ba3 Ba 0.679 0.317 0.937
Ba4 Ba 0.179 0.183 0.437
Ba5 Ba 0.330 0.688 0.433
Ba6 Ba 0.830 0.812 0.933
Ba7 Ba 0.670 0.312 0.567
Ba8 Ba 0.170 0.188 0.067
Ba9 Ba 0.863 0.542 0.248
Ba10 Ba 0.363 0.958 0.748
Ba11 Ba 0.137 0.458 0.752
Ba12 Ba 0.637 0.042 0.252
Ag1 Ag 0.048 0.896 0.252
Ag2 Ag 0.548 0.604 0.752
Ag3 Ag 0.952 0.104 0.748
Ag4 Ag 0.452 0.396 0.248
As1 As 0.500 0.000 0.000
As2 As 0.000 0.500 0.500
Pt1 Pt 0.500 0.000 0.500
Pt2 Pt 0.000 0.500 0.000

[8]
# Nd4Bi3Se (PBE, optimized geometry)
# SG = No. 13
# Energy = -5.4354 eV per atom
# Formation energy from raw total energies = -1160.6 meV/atom
data_Nd4Bi3Se
_chemical_formula_sum 'Nd8 Bi6 Se2'
_space_group_name_H-M_alt 'P 1'
_space_group_IT_number 1
_cell_length_a 7.827
_cell_length_b 7.825
_cell_length_c 9.073
_cell_angle_alpha 90.00
_cell_angle_beta 90.00
_cell_angle_gamma 109.53
loop_
_space_group_symop_operation_xyz
'x,y,z'
loop_
_atom_site_label
_atom_site_type_symbol
_atom_site_fract_x
_atom_site_fract_y
_atom_site_fract_z
Nd1 Nd 0.994 0.246 0.630
Nd2 Nd 0.501 0.241 0.880
Nd3 Nd 0.494 0.246 0.370
Nd4 Nd 0.001 0.241 0.120
Nd5 Nd 0.999 0.759 0.880
Nd6 Nd 0.506 0.754 0.630
Nd7 Nd 0.499 0.759 0.120
Nd8 Nd 0.006 0.754 0.370
Bi1 Bi 0.750 0.000 0.374
Bi2 Bi 0.250 0.000 0.626
Bi3 Bi 0.750 0.500 0.625
Bi4 Bi 0.750 0.500 0.124
Bi5 Bi 0.250 0.500 0.375
Bi6 Bi 0.250 0.500 0.876
Se1 Se 0.750 0.000 0.877
Se2 Se 0.250 0.000 0.123

[9]
# Y2Cr (PBE, optimized geometry)
# SG = No. 227
# Energy = -6.6053 eV per atom
# ΔH_f (0 K) = 0.912 eV/atom
data_Y2Cr
_chemical_formula_sum 'Y4 Cr2'
_space_group_name_H-M_alt 'P 1'
_space_group_IT_number 1
_cell_length_a 6.267
_cell_length_b 6.267
_cell_length_c 6.267
_cell_angle_alpha 60.00
_cell_angle_beta 60.00
_cell_angle_gamma 60.00
loop_
_space_group_symop_operation_xyz
'x,y,z'
loop_
_atom_site_label
_atom_site_type_symbol
_atom_site_fract_x
_atom_site_fract_y
_atom_site_fract_z
Y1 Y 0.125 0.125 0.125
Y2 Y 0.125 0.625 0.125
Y3 Y 0.125 0.125 0.625
Y4 Y 0.625 0.125 0.125
Cr1 Cr 0.500 0.500 0.500
Cr2 Cr 0.750 0.750 0.750